(1)
# SbTe2PN PBEsol relaxed
data_SbTe2PN
_space_group_name_H-M_alt 'P 1'
_space_group_IT_number 1
_cell_length_a 3.243
_cell_length_b 5.778
_cell_length_c 5.778
_cell_angle_alpha 90.00
_cell_angle_beta 90.00
_cell_angle_gamma 90.00
loop_
_space_group_symop_operation_xyz
'x,y,z'
loop_
_atom_site_label
_atom_site_fract_x
_atom_site_fract_y
_atom_site_fract_z
Te1 0.000 0.000 0.500
Te2 0.000 0.500 0.000
P1 0.000 0.000 0.000
N1 0.500 0.000 0.000
Sb1 0.500 0.500 0.500
# ρ, g cm⁻³: 6.5
# Energy, eV/atom: -4.77
# Total magnetic moment, μB per formula unit: 0.00
# Formation energy (no corrections), eV per atom: 0.42

---

(2)
# SbTePN2 PBEsol relaxed
data_SbTePN2
_space_group_name_H-M_alt 'P 1'
_space_group_IT_number 1
_cell_length_a 3.916
_cell_length_b 3.916
_cell_length_c 5.052
_cell_angle_alpha 90.00
_cell_angle_beta 90.00
_cell_angle_gamma 90.00
loop_
_space_group_symop_operation_xyz
'x,y,z'
loop_
_atom_site_label
_atom_site_fract_x
_atom_site_fract_y
_atom_site_fract_z
Te1 0.000 0.000 0.500
N1 0.500 0.000 0.000
N2 0.000 0.500 0.000
Sb1 0.500 0.500 0.500
P1 0.000 0.000 0.000
# ρ, g cm⁻³: 6.6
# Energy, eV/atom: -4.98
# Total magnetic moment, μB per formula unit: 0.16
# Formation energy (no corrections), eV per atom: 1.20